{
  "formula": "Na16InHg12",
  "functional": "PBE",
  "state": "optimized geometry",
  "cell": [[0.501, -10.015, -0.480], [9.095, 3.862, -1.773], [-3.038, 2.734, 9.156]],
  "species": ["Na", "Na", "Na", "Na", "Na", "Na", "Na", "Na", "Na", "Na", "Na", "Na", "Na", "Na", "Na", "Na", "In", "Hg", "Hg", "Hg", "Hg", "Hg", "Hg", "Hg", "Hg", "Hg", "Hg", "Hg", "Hg"],
  "fractional_positions": [[0.342, 0.342, 0.323], [0.999, 0.999, 0.006], [0.993, 0.993, 0.667], [0.300, 0.300, 0.709], [0.681, 0.418, 0.007], [0.585, 0.280, 0.587], [0.001, 0.692, 0.412], [0.000, 0.661, 0.002], [0.714, 0.318, 0.305], [0.408, 0.997, 0.687], [0.997, 0.408, 0.687], [0.318, 0.714, 0.305], [0.661, 0.000, 0.002], [0.692, 0.001, 0.412], [0.280, 0.585, 0.587], [0.418, 0.681, 0.007], [0.616, 0.616, 0.308], [0.812, 0.812, 0.188], [0.622, 0.622, 0.816], [0.368, 0.185, 0.988], [0.820, 0.622, 0.631], [0.194, 0.000, 0.372], [0.382, 0.002, 0.191], [0.188, 0.800, 0.810], [0.800, 0.188, 0.810], [0.002, 0.382, 0.191], [0.000, 0.194, 0.372], [0.622, 0.820, 0.631], [0.185, 0.368, 0.988]],
  "spacegroup": "Cm, No. 8",
  "dft_energy_ev_per_atom": -1.143,
  "magnetic_moment_mub_per_fu": 0.000,
  "formation_enthalpy_0k_ev_per_atom": -0.196
}

=====

{
  "formula": "CsTlSiSe3",
  "functional": "PBE",
  "state": "optimized geometry",
  "cell": [[7.715, -0.551, 0.365], [3.129, 7.073, 0.365], [3.341, 2.010, 7.809]],
  "species": ["Cs", "Cs", "Tl", "Tl", "Si", "Si", "Se", "Se", "Se", "Se", "Se", "Se"],
  "fractional_positions": [[0.699, 0.699, 0.801], [0.301, 0.301, 0.199], [0.331, 0.669, 0.500], [0.669, 0.331, 0.500], [0.041, 0.041, 0.841], [0.959, 0.959, 0.159], [0.246, 0.246, 0.667], [0.162, 0.731, 0.822], [0.731, 0.162, 0.822], [0.269, 0.838, 0.178], [0.838, 0.269, 0.178], [0.754, 0.754, 0.333]],
  "spacegroup": "C2/m, No. 12",
  "dft_energy_ev_per_atom": -3.767,
  "magnetic_moment_mub_per_fu": 0.000
}

=====

{
  "formula": "Cu8Ni4Ge",
  "functional": "PBE",
  "state": "optimized geometry",
  "cell": [[-2.106, 0.100, 5.171], [-3.450, -4.182, -1.331], [3.854, -3.693, 1.635]],
  "species": ["Cu", "Cu", "Cu", "Cu", "Cu", "Cu", "Cu", "Cu", "Ni", "Ni", "Ni", "Ni", "Ge"],
  "fractional_positions": [[0.241, 0.759, 0.241], [0.759, 0.759, 0.241], [0.759, 0.241, 0.759], [0.241, 0.759, 0.759], [0.759, 0.759, 0.759], [0.241, 0.241, 0.241], [0.759, 0.241, 0.241], [0.241, 0.241, 0.759], [0.500, 0.000, 0.500], [0.000, 0.500, 0.500], [0.500, 0.500, 0.000], [0.000, 0.000, 0.000], [0.500, 0.500, 0.500]],
  "spacegroup": "R-3m, No. 166",
  "dft_energy_ev_per_atom": -4.356,
  "magnetic_moment_mub_per_fu": 0.000,
  "formation_enthalpy_0k_ev_per_atom": 0.299
}

=====

{
  "formula": "HfV3N",
  "functional": "PBE",
  "state": "optimized geometry",
  "cell": [[-0.265, -3.698, -1.642], [2.994, -1.287, 2.414], [-2.722, -1.055, 2.814]],
  "species": ["V", "V", "V", "Hf", "N"],
  "fractional_positions": [[0.000, 0.500, 0.000], [0.000, 0.000, 0.500], [0.500, 0.000, 0.000], [0.500, 0.500, 0.500], [0.000, 0.000, 0.000]],
  "spacegroup": "Pm-3m, No. 221",
  "polymorph_energy_mev_per_atom": 0,
  "dft_energy_ev_per_atom": -9.609,
  "magnetic_moment_mub_per_fu": 0.000
}

=====

{
  "formula": "CsHg3As",
  "functional": "PBE",
  "state": "optimized geometry",
  "cell": [[6.869, 0.033, 0.000], [-2.690, 6.320, 0.000], [0.000, 0.000, 7.256]],
  "species": ["Cs", "Cs", "Hg", "Hg", "Hg", "Hg", "Hg", "Hg", "As", "As"],
  "fractional_positions": [[0.236, 0.764, 0.250], [0.764, 0.236, 0.750], [0.276, 0.276, 0.000], [0.724, 0.724, 0.500], [0.724, 0.724, 0.000], [0.879, 0.121, 0.250], [0.276, 0.276, 0.500], [0.121, 0.879, 0.750], [0.634, 0.366, 0.250], [0.366, 0.634, 0.750]],
  "spacegroup": "Cmcm, No. 63",
  "polymorph_energy_mev_per_atom": 0,
  "dft_energy_ev_per_atom": -1.461,
  "magnetic_moment_mub_per_fu": 0.000,
  "formation_enthalpy_0k_ev_per_atom": -0.179
}

=====

{
  "formula": "TaAl2Tc",
  "functional": "PBE",
  "state": "optimized geometry",
  "cell": [[4.414, 0.000, 0.000], [0.000, 2.819, 0.008], [0.000, 0.656, 5.014]],
  "species": ["Al", "Al", "Tc", "Ta"],
  "fractional_positions": [[0.000, 0.092, 0.982], [0.500, 0.134, 0.262], [0.500, 0.725, 0.769], [0.000, 0.549, 0.487]],
  "spacegroup": "Pm, No. 6",
  "polymorph_energy_mev_per_atom": 142,
  "dft_energy_ev_per_atom": -7.665,
  "magnetic_moment_mub_per_fu": 0.000,
  "formation_enthalpy_0k_ev_per_atom": -0.239
}

=====

Q: What is the formula in the fifth record?
A: CsHg3As